A relaxed structure of CdIn3Re. Source: Alexandria, functional PBE-GGA.

Cell lengths 5.269, 5.269, 5.269 Å; angles 90.00, 90.00, 90.00 degrees
Atoms (fractional coordinates):
1 Re 0.000 0.000 0.000
2 Cd 0.500 0.500 0.500
3 In 0.000 0.500 0.000
4 In 0.000 0.000 0.500
5 In 0.500 0.000 0.000

Space group   Pm-3m
Size of the total moment   0.00 μB/cell
Energy of formation from the pure elements   507.1 meV/atom
ΔE to the lowest computed polymorph   0 meV per atom
Total energy   -19.043 eV per cell